[1]
DFT (GGA-PBE) results for an optimized crystal structure of Tb2Y3Er9.

It has space group P-1 (No. 2), with a = 6.1882 Å, b = 8.6301 Å, c = 8.6993 Å, α = 79.96°, β = 77.34° and γ = 87.87°. The asymmetric unit holds Tb at (0.0493, 0.0320, 0.2998), Y at (0.2522, 0.6229, 0.7276), Y at (0.5000, 0.0000, 0.0000), Er at (0.0058, 0.7539, 0.0851), Er at (0.1555, 0.3333, 0.5050), Er at (0.3048, 0.3867, 0.1017), Er at (0.4089, 0.6875, 0.3031) and Er at (0.5000, 0.0000, 0.5000).

Its energy is -4.859 eV per atom. The calculation puts the density of states at the Fermi level at 1.58 states/eV per atom. The value obtained for the density is 7.78 g/cm³. Its total moment is 0.00 μB/f.u.

***

[2]
DFT (GGA-PBE) results for an optimized crystal structure of Sr5AgHg4.

It has space group P4/mmm (No. 123), with a = 3.9542 Å, b = 3.9542 Å, c = 20.2526 Å, α = 90.00°, β = 90.00° and γ = 90.00°. The asymmetric unit holds Sr at (0.0000, 0.0000, 0.0000), Sr at (0.0000, 0.0000, 0.2011), Sr at (0.0000, 0.0000, 0.4021), Ag at (0.5000, 0.5000, 0.5000), Hg at (0.5000, 0.5000, 0.1007) and Hg at (0.5000, 0.5000, 0.3030).

Its energy is -1.727 eV per atom. The calculation puts the density of states at the Fermi level at 0.61 states/eV per atom. The value obtained for the density is 7.07 g/cm³. Its total moment is 0.00 μB/f.u.

***

[3]
DFT (GGA-PBE) results for an optimized crystal structure of SrZnBiO4.

It has space group Cmcm (No. 63), with a = 6.4769 Å, b = 10.1247 Å, c = 7.1997 Å, α = 90.00°, β = 90.00° and γ = 90.00°. The asymmetric unit holds Sr at (0.0000, 0.0000, 0.0000), Zn at (0.0000, 0.3538, 0.2500), Bi at (0.0000, 0.3438, 0.7500), O at (0.0000, 0.2502, 0.0234) and O at (0.2230, 0.5004, 0.2500).

The calculation puts the density of states at the Fermi level at 0.32 states/eV per atom. For the raw formation energy, the calculation gives -1.581 eV per atom. The value obtained for the density is 5.99 g/cm³. Its total moment is 0.00 μB/f.u.

***

[4]
DFT (GGA-PBE) results for an optimized crystal structure of BiIrF3.

It has space group Pm-3m (No. 221), with a = 4.6229 Å, b = 4.6229 Å, c = 4.6229 Å, α = 90.00°, β = 90.00° and γ = 90.00°. The asymmetric unit holds Bi at (0.0000, 0.0000, 0.0000), Ir at (0.5000, 0.5000, 0.5000) and F at (0.0000, 0.0000, 0.5000).

The calculation puts the density of states at the Fermi level at 1.37 states/eV per atom. For the raw formation energy, the calculation gives -0.541 eV per atom. The energy above the most stable polymorph in this dataset is 0.00 kcal/mol of atoms. The value obtained for the density is 7.70 g/cm³. Its total moment is 3.00 μB/f.u.

***

[5]
DFT (GGA-PBE) results for an optimized crystal structure of TlIn2Cu.

It has space group I-42d (No. 122), with a = 4.7217 Å, b = 4.7217 Å, c = 18.5744 Å, α = 90.00°, β = 90.00° and γ = 90.00°. The asymmetric unit holds Tl at (0.0000, 0.0000, 0.0000), In at (0.1934, 0.2500, 0.6250) and Cu at (0.0000, 0.0000, 0.5000).

Its energy is -2.731 eV per atom. The calculation puts the density of states at the Fermi level at 0.41 states/eV per atom. The value obtained for the density is 7.98 g/cm³. Its total moment is 0.00 μB/f.u.

***

[6]
DFT (GGA-PBE) results for an optimized crystal structure of La8Ru3RhBr4.

It has space group R-3m (No. 166, hexagonal axes), with a = 8.3356 Å, b = 8.3356 Å, c = 23.7804 Å, α = 90.00°, β = 90.00° and γ = 120.00°. The asymmetric unit holds La at (0.0000, 0.0000, 0.2324), La at (0.0054, 0.5027, 0.7682), Ru at (0.0000, 0.5000, 0.5000), Rh at (0.0000, 0.0000, 0.5000), Br at (0.0000, 0.0000, 0.0000) and Br at (0.0000, 0.5000, 0.0000).

The calculation puts the density of states at the Fermi level at 0.61 states/eV per atom. For the raw formation energy, the calculation gives -0.992 eV per atom. The value obtained for the density is 6.39 g/cm³. Its total moment is 0.00 μB/f.u.

***

[7]
DFT (GGA-PBE) results for an optimized crystal structure of LaReSi2Sb.

It has space group P4/mmm (No. 123), with a = 4.7349 Å, b = 4.7349 Å, c = 5.5388 Å, α = 90.00°, β = 90.00° and γ = 90.00°. The asymmetric unit holds La at (0.0000, 0.0000, 0.0000), Re at (0.0000, 0.0000, 0.5000), Si at (0.0000, 0.5000, 0.5000) and Sb at (0.5000, 0.5000, 0.0000).

The calculation puts the density of states at the Fermi level at 0.90 states/eV per atom. For the raw formation energy, the calculation gives 0.019 eV per atom. The value obtained for the density is 6.73 g/cm³. Its total moment is 0.00 μB/f.u.

***

[8]
DFT (GGA-PBE) results for an optimized crystal structure of Ho2PuScP4.

It has space group P2/m (No. 10), with a = 6.7838 Å, b = 3.9434 Å, c = 6.8019 Å, α = 90.00°, β = 109.48° and γ = 90.00°. The asymmetric unit holds Ho at (0.0000, 0.0000, 0.0000), Ho at (0.5000, 0.5000, 0.0000), Pu at (0.0000, 0.5000, 0.5000), Sc at (0.5000, 0.0000, 0.5000), P at (0.2520, 0.0000, 0.7425) and P at (0.2577, 0.5000, 0.2604).

Its energy is -7.877 eV per atom. The calculation puts the density of states at the Fermi level at 1.35 states/eV per atom. The value obtained for the density is 7.19 g/cm³. Its total moment is 4.86 μB/f.u.

***

[9]
DFT (GGA-PBE) results for an optimized crystal structure of UGeIr2.

It has space group P2/m (No. 10), with a = 4.4036 Å, b = 3.8098 Å, c = 4.6259 Å, α = 90.00°, β = 102.20° and γ = 90.00°. The asymmetric unit holds U at (0.0000, 0.0000, 0.0000), Ge at (0.5000, 0.0000, 0.5000) and Ir at (0.2713, 0.5000, 0.7396).

The calculation puts the density of states at the Fermi level at 1.09 states/eV per atom. The energy above the most stable polymorph in this dataset is 5.89 kcal/mol of atoms. The value obtained for the density is 15.22 g/cm³. Its total moment is 0.16 μB/f.u.

***

[10]
DFT (GGA-PBE) results for an optimized crystal structure of YURh.

It has space group Fddd (No. 70, origin choice 2), with a = 6.0139 Å, b = 12.5511 Å, c = 15.2129 Å, α = 90.00°, β = 90.00° and γ = 90.00°. The asymmetric unit holds Y at (0.1250, 0.1250, 0.0229), U at (0.1250, 0.1250, 0.4453) and Rh at (0.1250, 0.0189, 0.6250).

Its energy is -8.399 eV per atom. The calculation puts the density of states at the Fermi level at 2.45 states/eV per atom. The value obtained for the density is 9.95 g/cm³. Its total moment is 2.69 μB/f.u.

***

[11]
DFT (GGA-PBE) results for an optimized crystal structure of MgTl2Pb2.

It has space group I4/mmm (No. 139), with a = 4.3511 Å, b = 4.3511 Å, c = 16.9308 Å, α = 90.00°, β = 90.00° and γ = 90.00°. The asymmetric unit holds Mg at (0.0000, 0.0000, 0.0000), Tl at (0.0000, 0.5000, 0.2500) and Pb at (0.0000, 0.0000, 0.4064).

The calculation puts the density of states at the Fermi level at 0.52 states/eV per atom. The energy above the most stable polymorph in this dataset is 4.39 kcal/mol of atoms. The value obtained for the density is 8.78 g/cm³. Its total moment is 0.00 μB/f.u.

***

[12]
DFT (GGA-PBE) results for an optimized crystal structure of CdAg2Br.

It has space group C2/m (No. 12), with a = 9.4276 Å, b = 3.6185 Å, c = 7.5348 Å, α = 90.00°, β = 120.95° and γ = 90.00°. The asymmetric unit holds Cd at (0.0000, 0.0000, 0.0000), Ag at (0.1470, 0.5000, 0.8391) and Br at (0.0000, 0.0000, 0.5000).

The calculation puts the density of states at the Fermi level at 0.34 states/eV per atom. For the raw formation energy, the calculation gives -0.058 eV per atom. The energy above the most stable polymorph in this dataset is 0.21 kcal/mol of atoms. The value obtained for the density is 6.15 g/cm³. Its total moment is 0.00 μB/f.u.